Al2RhPbC: optimized geometry, GGA-PBE.

For the total energy, the calculation gives -25.8 eV/f.u.

It has space group P4/mmm (No. 123), with a = 3.893 Å, b = 3.893 Å, c = 5.426 Å, α = 90.00°, β = 90.00° and γ = 90.00°. Symmetry generates all atoms from Al at (0.000, 0.500, 0.000), Rh at (0.000, 0.000, 0.500), Pb at (0.500, 0.500, 0.500) and C at (0.500, 0.500, 0.000).

AlSbPb2C: optimized geometry, GGA-PBE.

For the total energy, the calculation gives -22.0 eV/f.u. The value obtained for the uncorrected formation energy is 502 meV/atom.

It has space group P4/mmm (No. 123), with a = 5.741 Å, b = 5.741 Å, c = 3.702 Å, α = 90.00°, β = 90.00° and γ = 90.00°. Symmetry generates all atoms from Al at (0.000, 0.000, 0.000), Sb at (0.500, 0.500, 0.000), Pb at (0.000, 0.500, 0.500) and C at (0.000, 0.000, 0.500).

AlSbPb2C: optimized geometry, GGA-PBE.

For the total energy, the calculation gives -17.9 eV/f.u. The value obtained for the uncorrected formation energy is 1326 meV/atom.

It has space group P4/mmm (No. 123), with a = 6.049 Å, b = 6.049 Å, c = 4.101 Å, α = 90.00°, β = 90.00° and γ = 90.00°. Symmetry generates all atoms from Al at (0.000, 0.000, 0.000), Sb at (0.500, 0.500, 0.500), Pb at (0.000, 0.500, 0.500) and C at (0.500, 0.500, 0.000).